Here is an optimized crystal structure of CsTaGa2 from Alexandria. Energies are from GGA-PBE.

```
CsTaGa2
1.0
0.000 3.638 3.638
3.638 0.000 3.638
3.638 3.638 0.000
Cs Ta Ga
1 1 2
Cartesian
0.000 0.000 0.000
3.638 3.638 3.638
1.819 1.819 1.819
5.457 5.457 5.457
```

The space-group type is No. 225. The value obtained for the energy relative to the elements is 1.14 eV per atom.

---

Here is an optimized crystal structure of CsTaGa2 from Alexandria. Energies are from GGA-PBE.

```
CsTaGa2
1.0
-3.163 3.163 8.087
3.163 -3.163 8.087
3.163 3.163 -8.087
Cs Ta Ga
2 2 4
Cartesian
0.000 0.000 0.000
0.000 3.163 4.043
3.163 0.000 4.043
0.000 0.000 8.087
1.582 -0.138 6.065
3.025 1.582 2.022
1.582 3.301 -2.022
0.138 1.582 10.108
```

The space-group type is No. 122. The value obtained for the energy relative to the elements is 0.79 eV per atom.

---

Here is an optimized crystal structure of Cs3TaGa from Alexandria. Energies are from GGA-PBE.

```
Cs3TaGa
1.0
6.849 0.000 0.000
0.000 6.849 0.000
0.000 0.000 6.849
Cs Ta Ga
3 1 1
Cartesian
0.000 0.000 3.424
0.000 3.424 0.000
3.424 0.000 0.000
0.000 0.000 0.000
3.424 3.424 3.424
```

The space-group type is No. 221. The value obtained for the energy relative to the elements is 1.48 eV per atom.

---

Here is an optimized crystal structure of CsTa3Ga from Alexandria. Energies are from GGA-PBE.

```
CsTa3Ga
1.0
4.989 0.000 0.000
0.000 4.989 0.000
0.000 0.000 4.989
Cs Ta Ga
1 3 1
Cartesian
0.000 0.000 0.000
0.000 2.494 2.494
2.494 0.000 2.494
2.494 2.494 0.000
2.494 2.494 2.494
```

The space-group type is No. 221. The value obtained for the energy relative to the elements is 1.92 eV per atom.

---

Here is an optimized crystal structure of CsTa3Ga from Alexandria. Energies are from GGA-PBE.

```
CsTa3Ga
1.0
5.034 0.000 0.000
0.000 5.034 0.000
0.000 0.000 5.034
Cs Ta Ga
1 3 1
Cartesian
0.000 0.000 0.000
0.000 0.000 2.517
0.000 2.517 0.000
2.517 0.000 0.000
2.517 2.517 2.517
```

The space-group type is No. 221. The value obtained for the energy relative to the elements is 3.13 eV per atom.

---

Here is an optimized crystal structure of Cs2YTaGa from Alexandria. Energies are from GGA-PBE.

```
Cs2YTaGa
1.0
6.985 0.000 0.000
0.000 6.985 0.000
0.000 0.000 5.185
Cs Y Ta Ga
2 1 1 1
Cartesian
0.000 3.492 0.000
3.492 0.000 0.000
0.000 0.000 0.000
0.000 0.000 2.592
3.492 3.492 2.592
```

The space-group type is No. 123. The value obtained for the energy relative to the elements is 1.59 eV per atom.